Entry 1:
{"formula": "CaGePb3", "functional": "PBE-GGA", "state": "optimized geometry", "space_group": "Pm-3m, No. 221", "formation_energy_mev_per_atom": 207, "lattice": [[5.586, 0.000, 0.000], [0.000, 5.586, 0.000], [0.000, 0.000, 5.586]], "species": ["Pb", "Pb", "Pb", "Ge", "Ca"], "frac_coords": [[0.000, 0.500, 0.000], [0.000, 0.000, 0.500], [0.500, 0.000, 0.000], [0.000, 0.000, 0.000], [0.500, 0.500, 0.500]]}

=====

Entry 2:
{"formula": "CaGePb", "functional": "PBE-GGA", "state": "optimized geometry", "space_group": "P3m1, No. 156", "formation_energy_mev_per_atom": -337, "lattice": [[4.393, 0.000, 0.000], [-2.197, 3.805, 0.000], [0.000, 0.000, 5.139]], "species": ["Pb", "Ge", "Ca"], "frac_coords": [[0.333, 0.667, 0.945], [0.667, 0.333, 0.202], [0.000, 0.000, 0.506]]}

=====

Entry 3:
{"formula": "Ca4GePb", "functional": "PBE-GGA", "state": "optimized geometry", "space_group": "Pnma, No. 62", "formation_energy_mev_per_atom": -551, "lattice": [[4.727, 0.000, 0.000], [0.000, 8.299, 0.000], [0.000, 0.000, 18.964]], "species": ["Ca", "Ca", "Ca", "Ca", "Ca", "Ca", "Ca", "Ca", "Ca", "Ca", "Ca", "Ca", "Ca", "Ca", "Ca", "Ca", "Ge", "Ge", "Ge", "Ge", "Pb", "Pb", "Pb", "Pb"], "frac_coords": [[0.750, 0.864, 0.647], [0.250, 0.136, 0.353], [0.250, 0.636, 0.147], [0.750, 0.364, 0.853], [0.750, 0.857, 0.441], [0.250, 0.143, 0.559], [0.250, 0.643, 0.941], [0.750, 0.357, 0.059], [0.750, 0.993, 0.933], [0.250, 0.007, 0.067], [0.250, 0.507, 0.433], [0.750, 0.493, 0.567], [0.750, 0.969, 0.220], [0.250, 0.031, 0.780], [0.250, 0.531, 0.720], [0.750, 0.469, 0.280], [0.750, 0.257, 0.442], [0.250, 0.743, 0.558], [0.250, 0.243, 0.942], [0.750, 0.757, 0.058], [0.750, 0.736, 0.811], [0.250, 0.264, 0.189], [0.250, 0.764, 0.311], [0.750, 0.236, 0.689]]}

=====

Entry 4:
{"formula": "Ca2GePb", "functional": "PBE-GGA", "state": "optimized geometry", "space_group": "R-3m, No. 166", "formation_energy_mev_per_atom": -154, "lattice": [[-1.712, 3.317, 0.745], [-2.394, 0.287, 2.946], [6.625, 3.929, 7.460]], "species": ["Pb", "Ge", "Ca", "Ca"], "frac_coords": [[0.000, 0.000, 0.000], [0.500, 0.500, 0.500], [0.103, 0.103, 0.692], [0.897, 0.897, 0.308]]}

=====

Entry 5:
{"formula": "CaGe4Pb", "functional": "PBE-GGA", "state": "optimized geometry", "space_group": "F-43m, No. 216", "formation_energy_mev_per_atom": -110, "lattice": [[-4.668, 0.872, 3.289], [-4.681, -3.312, -0.693], [-1.437, -3.855, 4.055]], "species": ["Pb", "Ge", "Ge", "Ge", "Ge", "Ca"], "frac_coords": [[0.250, 0.250, 0.250], [0.626, 0.626, 0.123], [0.626, 0.123, 0.626], [0.626, 0.626, 0.626], [0.123, 0.626, 0.626], [0.000, 0.000, 0.000]]}

=====

Entry 6:
{"formula": "Ca3GePb2", "functional": "PBE-GGA", "state": "optimized geometry", "space_group": "Pnma, No. 62", "formation_energy_mev_per_atom": -450, "lattice": [[4.787, 0.000, 0.000], [0.000, 12.155, 0.000], [0.000, 0.000, 12.665]], "species": ["Ca", "Ca", "Ca", "Ca", "Ca", "Ca", "Ca", "Ca", "Ca", "Ca", "Ca", "Ca", "Ge", "Ge", "Ge", "Ge", "Pb", "Pb", "Pb", "Pb", "Pb", "Pb", "Pb", "Pb"], "frac_coords": [[0.250, 0.391, 0.065], [0.750, 0.609, 0.935], [0.750, 0.891, 0.435], [0.250, 0.109, 0.565], [0.250, 0.700, 0.219], [0.750, 0.300, 0.781], [0.750, 0.200, 0.281], [0.250, 0.800, 0.719], [0.250, 0.448, 0.384], [0.750, 0.552, 0.616], [0.750, 0.948, 0.116], [0.250, 0.052, 0.884], [0.250, 0.156, 0.140], [0.750, 0.844, 0.860], [0.750, 0.656, 0.360], [0.250, 0.344, 0.640], [0.250, 0.698, 0.488], [0.750, 0.302, 0.512], [0.750, 0.198, 0.012], [0.250, 0.802, 0.988], [0.250, 0.989, 0.298], [0.750, 0.011, 0.702], [0.750, 0.489, 0.202], [0.250, 0.511, 0.798]]}

=====

Entry 7:
{"formula": "Ca7Ge2Pb2", "functional": "PBE-GGA", "state": "optimized geometry", "space_group": "Cmmm, No. 65", "formation_energy_mev_per_atom": -307, "lattice": [[6.814, -0.003, -1.015], [0.003, 8.134, 0.004], [-1.438, -0.002, 6.737]], "species": ["Ca", "Ca", "Ca", "Ca", "Ca", "Ca", "Ca", "Ge", "Ge", "Pb", "Pb"], "frac_coords": [[0.000, 0.296, 0.500], [0.500, 0.704, 0.000], [0.000, 0.704, 0.500], [0.500, 0.296, 0.000], [0.000, 0.000, 0.000], [0.500, 0.725, 0.500], [0.500, 0.275, 0.500], [0.823, 0.500, 0.823], [0.177, 0.500, 0.177], [0.707, 0.000, 0.293], [0.293, 0.000, 0.707]]}

=====

Entry 8:
{"formula": "CaGe2Pb2", "functional": "PBE-GGA", "state": "optimized geometry", "space_group": "I4/mmm, No. 139", "formation_energy_mev_per_atom": 22, "lattice": [[-0.858, 4.161, 0.339], [-0.013, -0.349, 4.248], [7.193, 3.467, 2.445]], "species": ["Pb", "Pb", "Ge", "Ge", "Ca"], "frac_coords": [[0.391, 0.391, 0.217], [0.609, 0.609, 0.783], [0.750, 0.250, 0.500], [0.250, 0.750, 0.500], [0.000, 0.000, 0.000]]}